(1)
{
  "formula": "ZnTcIrO2",
  "functional": "PBE",
  "state": "optimized geometry",
  "crystal_system": "tetragonal",
  "raw_formation_energy_ev_per_atom": 0.910,
  "lattice": [[3.6078, 0.0000, 0.0000], [0.0000, 3.6078, 0.0000], [0.0000, 0.0000, 6.2814]],
  "species": ["Zn", "Tc", "Ir", "O", "O"],
  "frac_coords": [[0.0000, 0.0000, 0.0000], [0.0000, 0.0000, 0.5000], [0.5000, 0.5000, 0.5000], [0.0000, 0.5000, 0.0000], [0.5000, 0.0000, 0.0000]]
}

***

(2)
{
  "formula": "ZnTc2IrO",
  "functional": "PBE",
  "state": "optimized geometry",
  "crystal_system": "tetragonal",
  "raw_formation_energy_ev_per_atom": 0.266,
  "lattice": [[4.0296, 0.0000, 0.0000], [0.0000, 4.0296, 0.0000], [0.0000, 0.0000, 4.1974]],
  "species": ["Zn", "Tc", "Tc", "Ir", "O"],
  "frac_coords": [[0.0000, 0.0000, 0.0000], [0.0000, 0.5000, 0.5000], [0.5000, 0.0000, 0.5000], [0.5000, 0.5000, 0.0000], [0.5000, 0.5000, 0.5000]]
}

***

(3)
{
  "formula": "ZrTcIrO2",
  "functional": "PBE",
  "state": "optimized geometry",
  "crystal_system": "tetragonal",
  "raw_formation_energy_ev_per_atom": -0.428,
  "lattice": [[3.7357, 0.0000, 0.0000], [0.0000, 3.7357, 0.0000], [0.0000, 0.0000, 6.2708]],
  "species": ["Zr", "Tc", "Ir", "O", "O"],
  "frac_coords": [[0.0000, 0.0000, 0.0000], [0.0000, 0.0000, 0.5000], [0.5000, 0.5000, 0.0000], [0.0000, 0.5000, 0.5000], [0.5000, 0.0000, 0.5000]]
}

***

(4)
{
  "formula": "TeIrO2",
  "functional": "PBE",
  "state": "optimized geometry",
  "crystal_system": "trigonal",
  "raw_formation_energy_ev_per_atom": -0.272,
  "lattice": [[3.2840, 0.0000, 0.0000], [-1.6420, 2.8440, 0.0000], [0.0000, 0.0000, 19.3716]],
  "species": ["Te", "Te", "Te", "Ir", "Ir", "Ir", "O", "O", "O", "O", "O", "O"],
  "frac_coords": [[0.0000, 0.0000, 0.0000], [0.3333, 0.6667, 0.6667], [0.6667, 0.3333, 0.3333], [0.0000, 0.0000, 0.5000], [0.3333, 0.6667, 0.1667], [0.6667, 0.3333, 0.8333], [0.0000, 0.0000, 0.1201], [0.0000, 0.0000, 0.8799], [0.3333, 0.6667, 0.5466], [0.3333, 0.6667, 0.7867], [0.6667, 0.3333, 0.2133], [0.6667, 0.3333, 0.4534]]
}

***

(5)
{
  "formula": "TeIrO2",
  "functional": "PBE",
  "state": "optimized geometry",
  "crystal_system": "trigonal",
  "raw_formation_energy_ev_per_atom": 0.000,
  "lattice": [[2.9417, 0.0000, 0.0000], [-1.4709, 2.5476, 0.0000], [0.0000, 0.0000, 22.0400]],
  "species": ["Te", "Te", "Te", "Ir", "Ir", "Ir", "O", "O", "O", "O", "O", "O"],
  "frac_coords": [[0.0000, 0.0000, 0.0000], [0.3333, 0.6667, 0.6667], [0.6667, 0.3333, 0.3333], [0.0000, 0.0000, 0.5000], [0.3333, 0.6667, 0.1667], [0.6667, 0.3333, 0.8333], [0.0000, 0.0000, 0.4138], [0.0000, 0.0000, 0.5862], [0.3333, 0.6667, 0.0805], [0.3333, 0.6667, 0.2529], [0.6667, 0.3333, 0.7471], [0.6667, 0.3333, 0.9195]]
}

***

(6)
{
  "formula": "TeIrO2",
  "functional": "PBE",
  "state": "optimized geometry",
  "crystal_system": "tetragonal",
  "raw_formation_energy_ev_per_atom": 0.239,
  "lattice": [[6.0516, 0.0000, 0.0000], [0.0000, 6.0516, 0.0000], [0.0000, 0.0000, 7.9875]],
  "species": ["Te", "Te", "Te", "Te", "Ir", "Ir", "Ir", "Ir", "O", "O", "O", "O", "O", "O", "O", "O"],
  "frac_coords": [[0.0000, 0.0000, 0.0000], [0.0000, 0.5000, 0.2500], [0.5000, 0.0000, 0.7500], [0.5000, 0.5000, 0.5000], [0.0000, 0.0000, 0.5000], [0.0000, 0.5000, 0.7500], [0.5000, 0.0000, 0.2500], [0.5000, 0.5000, 0.0000], [0.1066, 0.2500, 0.6250], [0.2500, 0.6066, 0.8750], [0.2500, 0.8934, 0.3750], [0.3934, 0.2500, 0.1250], [0.6066, 0.7500, 0.1250], [0.7500, 0.1066, 0.3750], [0.7500, 0.3934, 0.8750], [0.8934, 0.7500, 0.6250]]
}